Density functional theory data (PBE-GGA) for crystalline Y5SnBi4 at its relaxed geometry.

```
Y5SnBi4
1.0
-4.995 4.995 3.158
4.995 -4.995 3.158
4.995 4.995 -3.158
Y Sn Bi
5 1 4
Cartesian
0.000 0.000 0.000
4.000 2.042 0.000
2.953 -0.995 3.158
2.042 5.990 0.000
0.995 2.953 3.158
0.000 0.000 3.158
6.982 0.978 0.000
0.978 3.008 0.000
4.017 1.987 3.158
-1.987 4.017 3.158
```

Summary:
For the formation energy, the calculation gives -8.26 eV/f.u. The symmetry is I4/m (87). The theoretical density comes out at 7.37 Mg/m³.